Entry 1:
Crystalline ZrBIO2 at its relaxed geometry, computed with GGA-PBE.

## Properties
- Energy relative to the lowest polymorph listed for this composition: 929 meV/atom
- Crystal system: tetragonal

abc: 3.9680 3.9680 4.4183
angles: 90.00 90.00 90.00
With the nearest neighbours (Å) after each atom.
Atoms (fractional coordinates):
O 0.5000 0.0000 0.0000  2 B 1.98
B 0.0000 0.0000 0.0000  4 O 1.98, 2 I 2.21
O 0.0000 0.5000 0.0000  2 B 1.98
I 0.0000 0.0000 0.5000  2 B 2.21
Zr 0.5000 0.5000 0.5000  4 I 2.81, 8 O 2.97

=====

Entry 2:
Crystalline ZrBIO2 at its relaxed geometry, computed with GGA-PBE.

## Properties
- Energy relative to the lowest polymorph listed for this composition: 0 meV/atom
- Crystal system: tetragonal

abc: 4.0738 4.0738 6.2254
angles: 90.00 90.00 90.00
With the nearest neighbours (Å) after each atom.
Atoms (fractional coordinates):
O 0.5000 0.0000 0.0000  2 Zr 2.04
Zr 0.0000 0.0000 0.0000  4 O 2.04
B 0.5000 0.5000 0.5000  4 I 2.88
I 0.0000 0.0000 0.5000  4 B 2.88, 2 Zr 3.11
O 0.0000 0.5000 0.0000  2 Zr 2.04

=====

Entry 3:
Crystalline BSbOsI2 at its relaxed geometry, computed with GGA-PBE.

## Properties
- Energy relative to the lowest polymorph listed for this composition: 0 meV/atom
- Crystal system: tetragonal

abc: 5.5916 5.5916 4.9922
angles: 90.00 90.00 90.00
With the nearest neighbours (Å) after each atom.
Atoms (fractional coordinates):
Sb 0.0000 0.0000 0.5000  2 Os 2.50
Os 0.0000 0.0000 0.0000  2 Sb 2.50
I 0.5000 0.0000 0.0000  2 Os 2.80
B 0.5000 0.5000 0.5000  8 I 3.75, 4 Sb 3.95
I 0.0000 0.5000 0.0000  2 Os 2.80

=====

Entry 4:
Crystalline BSbOsI2 at its relaxed geometry, computed with GGA-PBE.

## Properties
- Energy relative to the lowest polymorph listed for this composition: 197 meV/atom
- Crystal system: tetragonal

abc: 4.7779 4.7779 4.7159
angles: 90.00 90.00 90.00
With the nearest neighbours (Å) after each atom.
Atoms (fractional coordinates):
I 0.0000 0.5000 0.0000  2 B 2.39
Sb 0.0000 0.0000 0.5000  2 B 2.36
I 0.5000 0.0000 0.0000  2 B 2.39
Os 0.5000 0.5000 0.5000  8 I 3.36, 4 Sb 3.38
B 0.0000 0.0000 0.0000  2 Sb 2.36, 4 I 2.39

=====

Entry 5:
Crystalline BSb2OsI at its relaxed geometry, computed with GGA-PBE.

## Properties
- Energy relative to the lowest polymorph listed for this composition: 15 meV/atom
- Crystal system: tetragonal

abc: 4.6231 4.6231 4.7789
angles: 90.00 90.00 90.00
With the nearest neighbours (Å) after each atom.
Atoms (fractional coordinates):
Sb 0.5000 0.0000 0.0000  2 B 2.31
I 0.0000 0.0000 0.5000  2 B 2.39
Os 0.5000 0.5000 0.5000  4 I 3.27, 8 Sb 3.32
B 0.0000 0.0000 0.0000  4 Sb 2.31, 2 I 2.39
Sb 0.0000 0.5000 0.0000  2 B 2.31

=====

Entry 6:
Crystalline BSb2OsI at its relaxed geometry, computed with GGA-PBE.

## Properties
- Energy relative to the lowest polymorph listed for this composition: 0 meV/atom
- Crystal system: tetragonal

abc: 5.0317 5.0317 5.9035
angles: 90.00 90.00 90.00
With the nearest neighbours (Å) after each atom.
Atoms (fractional coordinates):
Os 0.0000 0.0000 0.0000  4 Sb 2.52
B 0.5000 0.5000 0.5000  4 I 3.56, 8 Sb 3.88
Sb 0.0000 0.5000 0.0000  2 Os 2.52
Sb 0.5000 0.0000 0.0000  2 Os 2.52
I 0.0000 0.0000 0.5000  2 Os 2.95

=====

Entry 7:
Crystalline ScB2OsI at its relaxed geometry, computed with GGA-PBE.

## Properties
- Crystal system: tetragonal

abc: 4.4840 5.0005 4.4840
angles: 90.00 90.00 90.00
With the nearest neighbours (Å) after each atom.
Atoms (fractional coordinates):
Os 0.0000 0.5000 0.0000  2 Sc 2.50
B 0.0000 0.0000 0.5000  2 Sc 2.24
Sc 0.0000 0.0000 0.0000  4 B 2.24, 2 Os 2.50
B 0.5000 0.0000 0.0000  2 Sc 2.24
I 0.5000 0.5000 0.5000  4 Os 3.17, 8 B 3.36

=====

Entry 8:
Crystalline SiB2OsI at its relaxed geometry, computed with GGA-PBE.

## Properties
- Crystal system: tetragonal

abc: 4.1819 5.0322 4.1819
angles: 90.00 90.00 90.00
With the nearest neighbours (Å) after each atom.
Atoms (fractional coordinates):
I 0.5000 0.5000 0.5000  4 Si 2.96, 8 B 3.27
Si 0.0000 0.5000 0.0000  2 Os 2.52
B 0.5000 0.0000 0.0000  2 Os 2.09
Os 0.0000 0.0000 0.0000  4 B 2.09
B 0.0000 0.0000 0.5000  2 Os 2.09

=====

What are the size of the total moment values for these records? In order: 0.00 0.00 0.00 0.49 0.00 0.14 0.00 0.00 μB/cell.
What are the E values for these records? In order: -5.134 -6.063 -3.478 -3.280 -4.042 -4.057 -4.392 -5.493 eV per atom.
What are the ΔE_f (raw) values for these records? In order: 19.75 -69.90 149.40 168.42 144.60 143.12 202.77 78.99 kJ/mol of atoms.